Computed, not measured: CaNd2OsN4 after structural relaxation at the GGA-PBE level of DFT.

Output
Crystal system: orthorhombic
Uncorrected energy: -7.6737 eV per atom
Uncorrected formation energy: -64.2 kJ per mole of atoms

Unit cell a=3.5229 b=12.3634 c=11.9961 alpha=90.00 beta=90.00 gamma=90.00
Closest atoms and distances in Å follow each position.
Space group Cmcm (No. 63)
Symmetry-distinct sites (fractional):
Ca1 0.0000 0.1334 0.2500 (multiplicity 4)  4 N 2.60
Nd1 0.0000 0.3686 0.0336 (multiplicity 8)  6 N 2.40-2.68
Os1 0.0000 0.1468 0.7500 (multiplicity 4)  4 N 1.95-1.99
N1 0.0000 0.0000 0.0000 (multiplicity 4)  4 Nd 2.43
N2 0.0000 0.2612 0.6331 (multiplicity 8)  1 Os 1.99
N3 0.0000 0.4209 0.2500 (multiplicity 4)  2 Os 1.95